This record from the Alexandria database describes crystalline Ce2In3Hg3 at its relaxed geometry. The functional is PBE.

The space group is Pmmm (No. 47) and the conventional cell measures 4.6977, 4.7177 and 9.4122 Å, with angles of 90.00, 90.00 and 90.00 degrees. Symmetry generates all atoms from Ce at (0.0000, 0.0000, 0.2487), In at (0.0000, 0.5000, 0.0000), In at (0.0000, 0.5000, 0.5000), In at (0.5000, 0.0000, 0.5000), Hg at (0.5000, 0.0000, 0.0000) and Hg at (0.5000, 0.5000, 0.2589).

For the formation energy from the elements, the calculation gives -0.32 eV per atom.

This record from the Alexandria database describes crystalline HfZr2Tc2 at its relaxed geometry. The functional is PBE.

The space group is P4/mbm (No. 127) and the conventional cell measures 7.5306, 7.5306 and 3.4357 Å, with angles of 90.00, 90.00 and 90.00 degrees. Symmetry generates all atoms from Hf at (0.0000, 0.0000, 0.0000), Zr at (0.1546, 0.3454, 0.5000) and Tc at (0.1470, 0.6470, 0.0000).

For the relative energy among the computed polymorphs, the calculation gives 0.679 eV/f.u. For the formation energy from the elements, the calculation gives -0.10 eV per atom.

This record from the Alexandria database describes crystalline Zr4HgS8 at its relaxed geometry. The functional is PBE.

The space group is R-3m (No. 166, hexagonal axes) and the conventional cell measures 7.3751, 7.3751 and 26.8312 Å, with angles of 90.00, 90.00 and 120.00 degrees. Symmetry generates all atoms from Zr at (0.0000, 0.0000, 0.0000), Zr at (0.0000, 0.5000, 0.0000), Hg at (0.0000, 0.0000, 0.5000), S at (0.0000, 0.0000, 0.2789) and S at (0.0002, 0.5001, 0.2789).

As for the total energy: -6.58 eV per atom.

This record from the Alexandria database describes crystalline AlAg2P2 at its relaxed geometry. The functional is PBE.

The space group is P4/mbm (No. 127) and the conventional cell measures 7.9883, 7.9883 and 2.8068 Å, with angles of 90.00, 90.00 and 90.00 degrees. Symmetry generates all atoms from Al at (0.0000, 0.0000, 0.0000), Ag at (0.1431, 0.3569, 0.0000) and P at (0.1571, 0.6571, 0.5000).

For the relative energy among the computed polymorphs, the calculation gives 1.869 eV/f.u. For the formation energy from the elements, the calculation gives 0.41 eV per atom.

This record from the Alexandria database describes crystalline HoTm5Th5 at its relaxed geometry. The functional is PBE.

The space group is P-6m2 (No. 187) and the conventional cell measures 6.2670, 6.2670 and 11.0997 Å, with angles of 90.00, 90.00 and 120.00 degrees. Symmetry generates all atoms from Ho at (0.0000, 0.0000, 0.0000), Tm at (0.0000, 0.0000, 0.3271), Tm at (0.3333, 0.6667, 0.1810), Tm at (0.6667, 0.3333, 0.0000), Th at (0.0130, 0.5065, 0.5000) and Th at (0.6667, 0.3333, 0.2680).

For the formation energy from the elements, the calculation gives 0.40 eV per atom.

This record from the Alexandria database describes crystalline Tm7CI12 at its relaxed geometry. The functional is PBE.

The space group is R-3 (No. 148, hexagonal axes) and the conventional cell measures 15.3893, 15.3893 and 10.1833 Å, with angles of 90.00, 90.00 and 120.00 degrees. Symmetry generates all atoms from Tm at (0.0000, 0.0000, 0.0000), Tm at (0.0409, 0.8954, 0.3634), C at (0.0000, 0.0000, 0.5000), I at (0.0269, 0.4399, 0.1649) and I at (0.0520, 0.8693, 0.8343).

As for the total energy: -4.10 eV per atom.